[1]
Here is LiTb2IO6 after structural relaxation from Alexandria. Energies are from PBE-GGA.

Unit cell a=5.7894 b=5.7897 c=5.9157 alpha=60.69 beta=60.70 gamma=59.96
Last column: nearest neighbours and their distance in Å.
Fractional positions:
I 0.3191 0.3194 0.0422  6 O 2.01-2.24
Li 0.8153 0.8147 0.5568  6 O 2.27-2.37
O 0.2065 0.9287 0.2483  2 Tb 2.22-2.29, 1 I 2.24, 1 Li 2.27
Tb 0.5347 0.5346 0.3960  6 O 2.22-2.44
O 0.4182 0.6693 0.7803  1 I 2.01
O 0.9293 0.6157 0.2476  2 Tb 2.22-2.29, 1 I 2.23, 1 Li 2.29
O 0.6696 0.1318 0.7801  1 I 2.02
Tb 0.0213 0.0216 0.9359  6 O 2.29-2.32
O 0.6158 0.2071 0.2479  2 Tb 2.22-2.29, 1 I 2.24, 1 Li 2.28
O 0.1317 0.4186 0.7801  1 I 2.01

For the total energy, the calculation gives -63.922 eV/cell. The calculation puts the total moment at 0.0 μB per formula unit. As for the crystal system: triclinic. As for the space group: No. 1. The uncorrected formation energy is -2.14 eV per atom.

[2]
Here is Li2TbIO6 after structural relaxation from Alexandria. Energies are from PBE-GGA.

Unit cell a=5.2154 b=5.2157 c=5.9377 alpha=63.95 beta=63.95 gamma=60.00
Last column: nearest neighbours and their distance in Å.
Fractional positions:
Li 0.6174 0.6175 0.1475  3 O 2.01
O 0.0748 0.4097 0.8413  1 I 1.90, 1 Li 2.01
Li 0.0149 0.0148 0.9557  3 O 2.01
O 0.6743 0.0747 0.8414  1 I 1.90, 1 Li 2.01
O 0.4098 0.6742 0.8413  1 I 1.90, 1 Li 2.01
Tb 0.8162 0.8162 0.5515  6 O 2.29
O 0.5576 0.2226 0.2617  1 I 1.90, 1 Li 2.01
O 0.9581 0.5577 0.2616  1 I 1.90, 1 Li 2.01
O 0.2225 0.9581 0.2617  1 I 1.90, 1 Li 2.01
I 0.3162 0.3162 0.0515  6 O 1.90

For the total energy, the calculation gives -57.209 eV/cell. The calculation puts the total moment at 0.0 μB per formula unit. As for the crystal system: trigonal. As for the space group: No. 148. The uncorrected formation energy is -1.75 eV per atom.

[3]
Here is LiTcIO2 after structural relaxation from Alexandria. Energies are from PBE-GGA.

Unit cell a=3.8354 b=3.8354 c=6.1074 alpha=90.00 beta=90.00 gamma=90.00
Last column: nearest neighbours and their distance in Å.
Fractional positions:
Li 0.5000 0.5000 0.5000  4 I 2.71
I 0.0000 0.0000 0.5000  4 Li 2.71
Tc 0.0000 0.0000 0.0000  4 O 1.92
O 0.5000 0.0000 0.0000  2 Tc 1.92
O 0.0000 0.5000 0.0000  2 Tc 1.92

For the total energy, the calculation gives -28.805 eV/cell. The calculation puts the total moment at 0.0 μB per formula unit. Its distance to the lowest polymorph of the same formula is 0 kJ/mol of formula units. As for the crystal system: tetragonal. As for the space group: No. 123. The uncorrected formation energy is -1.01 eV per atom.

[4]
Here is LiTcIO2 after structural relaxation from Alexandria. Energies are from PBE-GGA.

Unit cell a=3.9649 b=3.9649 c=5.0471 alpha=90.00 beta=90.00 gamma=90.00
Last column: nearest neighbours and their distance in Å.
Fractional positions:
Tc 0.5000 0.5000 0.5000  4 I 2.80
Li 0.0000 0.0000 0.0000  4 O 1.98
I 0.0000 0.0000 0.5000  2 Li 2.52, 4 Tc 2.80
O 0.0000 0.5000 0.0000  2 Li 1.98
O 0.5000 0.0000 0.0000  2 Li 1.98

For the total energy, the calculation gives -20.939 eV/cell. The calculation puts the total moment at 1.9 μB per formula unit. Its distance to the lowest polymorph of the same formula is 759 kJ/mol of formula units. As for the crystal system: tetragonal. As for the space group: No. 123. The uncorrected formation energy is 0.56 eV per atom.

[5]
Here is LiTeIO2 after structural relaxation from Alexandria. Energies are from PBE-GGA.

Unit cell a=4.0932 b=4.0932 c=6.7297 alpha=90.00 beta=90.00 gamma=90.00
Last column: nearest neighbours and their distance in Å.
Fractional positions:
O 0.5000 0.0000 0.0000  2 Te 2.05
I 0.0000 0.0000 0.5000  4 Li 2.89
Te 0.0000 0.0000 0.0000  4 O 2.05
O 0.0000 0.5000 0.0000  2 Te 2.05
Li 0.5000 0.5000 0.5000  4 I 2.89

For the total energy, the calculation gives -20.187 eV/cell. The calculation puts the total moment at 0.0 μB per formula unit. Its distance to the lowest polymorph of the same formula is 0 kJ/mol of formula units. As for the crystal system: tetragonal. As for the space group: No. 123. The uncorrected formation energy is -0.73 eV per atom.

[6]
Here is LiTe2IO after structural relaxation from Alexandria. Energies are from PBE-GGA.

Unit cell a=4.4532 b=4.4532 c=8.1141 alpha=90.00 beta=90.00 gamma=90.00
Last column: nearest neighbours and their distance in Å.
Fractional positions:
O 0.0000 0.0000 0.0000  4 Te 2.23
I 0.0000 0.0000 0.5000  4 Li 3.15
Te 0.5000 0.0000 0.0000  2 O 2.23
Li 0.5000 0.5000 0.5000  4 I 3.15
Te 0.0000 0.5000 0.0000  2 O 2.23

For the total energy, the calculation gives -16.071 eV/cell. The calculation puts the total moment at 0.0 μB per formula unit. Its distance to the lowest polymorph of the same formula is 0 kJ/mol of formula units. As for the crystal system: tetragonal. As for the space group: No. 123. The uncorrected formation energy is -0.27 eV per atom.

[7]
Here is LiTeIO2 after structural relaxation from Alexandria. Energies are from PBE-GGA.

Unit cell a=4.2570 b=4.2570 c=5.5640 alpha=90.00 beta=90.00 gamma=90.00
Last column: nearest neighbours and their distance in Å.
Fractional positions:
I 0.0000 0.0000 0.5000  2 Li 2.78, 4 Te 3.01
O 0.0000 0.5000 0.0000  2 Li 2.13
O 0.5000 0.0000 0.0000  2 Li 2.13
Li 0.0000 0.0000 0.0000  4 O 2.13
Te 0.5000 0.5000 0.5000  4 I 3.01

For the total energy, the calculation gives -15.098 eV/cell. The calculation puts the total moment at 3.0 μB per formula unit. Its distance to the lowest polymorph of the same formula is 491 kJ/mol of formula units. As for the crystal system: tetragonal. As for the space group: No. 123. The uncorrected formation energy is 0.28 eV per atom.

[8]
Here is LiTeI2O after structural relaxation from Alexandria. Energies are from PBE-GGA.

Unit cell a=6.2438 b=6.2438 c=4.1107 alpha=90.00 beta=90.00 gamma=90.00
Last column: nearest neighbours and their distance in Å.
Fractional positions:
O 0.0000 0.0000 0.5000  2 Te 2.06
I 0.5000 0.0000 0.0000  2 Te 3.12
Li 0.5000 0.5000 0.5000  8 I 3.74, 2 Li 4.11
Te 0.0000 0.0000 0.0000  2 O 2.06
I 0.0000 0.5000 0.0000  2 Te 3.12

For the total energy, the calculation gives -15.447 eV/cell. The calculation puts the total moment at 0.0 μB per formula unit. Its distance to the lowest polymorph of the same formula is 0 kJ/mol of formula units. As for the crystal system: tetragonal. As for the space group: No. 123. The uncorrected formation energy is -0.47 eV per atom.

[9]
Here is LiTeI2O after structural relaxation from Alexandria. Energies are from PBE-GGA.

Unit cell a=5.5967 b=5.5967 c=3.7290 alpha=90.00 beta=90.00 gamma=90.00
Last column: nearest neighbours and their distance in Å.
Fractional positions:
Li 0.0000 0.0000 0.0000  2 O 1.86
Te 0.5000 0.5000 0.5000  8 I 3.36, 2 Te 3.73
I 0.0000 0.5000 0.0000  2 Li 2.80
I 0.5000 0.0000 0.0000  2 Li 2.80
O 0.0000 0.0000 0.5000  2 Li 1.86

For the total energy, the calculation gives -13.044 eV/cell. The calculation puts the total moment at 0.0 μB per formula unit. Its distance to the lowest polymorph of the same formula is 232 kJ/mol of formula units. As for the crystal system: tetragonal. As for the space group: No. 123. The uncorrected formation energy is 0.01 eV per atom.

[10]
Here is LiTeI2O after structural relaxation from Alexandria. Energies are from PBE-GGA.

Unit cell a=5.1182 b=5.1182 c=5.1951 alpha=90.00 beta=90.00 gamma=90.00
Last column: nearest neighbours and their distance in Å.
Fractional positions:
I 0.5000 0.0000 0.0000  2 Li 2.56
O 0.5000 0.5000 0.5000  4 Te 3.62, 8 I 3.65
I 0.0000 0.5000 0.0000  2 Li 2.56
Te 0.0000 0.0000 0.5000  2 Li 2.60
Li 0.0000 0.0000 0.0000  4 I 2.56, 2 Te 2.60

For the total energy, the calculation gives -9.927 eV/cell. The calculation puts the total moment at 0.0 μB per formula unit. Its distance to the lowest polymorph of the same formula is 533 kJ/mol of formula units. As for the crystal system: tetragonal. As for the space group: No. 123. The uncorrected formation energy is 0.64 eV per atom.

[11]
Here is LiTeI2O after structural relaxation from Alexandria. Energies are from PBE-GGA.

Unit cell a=5.3263 b=5.3263 c=4.5951 alpha=90.00 beta=90.00 gamma=90.00
Last column: nearest neighbours and their distance in Å.
Fractional positions:
I 0.5000 0.0000 0.0000  2 O 2.66
Li 0.5000 0.5000 0.5000  8 I 3.52, 4 Te 3.77
O 0.0000 0.0000 0.0000  2 Te 2.30
Te 0.0000 0.0000 0.5000  2 O 2.30
I 0.0000 0.5000 0.0000  2 O 2.66

For the total energy, the calculation gives -13.469 eV/cell. The calculation puts the total moment at 0.0 μB per formula unit. Its distance to the lowest polymorph of the same formula is 191 kJ/mol of formula units. As for the crystal system: tetragonal. As for the space group: No. 123. The uncorrected formation energy is -0.07 eV per atom.

[12]
Here is LiTe2IO after structural relaxation from Alexandria. Energies are from PBE-GGA.

Unit cell a=5.0232 b=5.0232 c=5.0096 alpha=90.00 beta=90.00 gamma=90.00
Last column: nearest neighbours and their distance in Å.
Fractional positions:
I 0.0000 0.0000 0.5000  2 Li 2.50
Li 0.0000 0.0000 0.0000  2 I 2.50, 4 Te 2.51
O 0.5000 0.5000 0.5000  8 Te 3.55, 4 I 3.55
Te 0.0000 0.5000 0.0000  2 Li 2.51
Te 0.5000 0.0000 0.0000  2 Li 2.51

For the total energy, the calculation gives -11.326 eV/cell. The calculation puts the total moment at 0.0 μB per formula unit. Its distance to the lowest polymorph of the same formula is 458 kJ/mol of formula units. As for the crystal system: tetragonal. As for the space group: No. 123. The uncorrected formation energy is 0.68 eV per atom.